Computed, not measured: a relaxed structure of TiCrC2 at the PBE-GGA level of DFT.

a = 3.6948 Å, b = 3.6948 Å, c = 3.6948 Å
α = 60.00°, β = 60.00°, γ = 60.00°
Fractional coordinates of all 4 atoms:
1 C 0.2500 0.2500 0.2500
2 C 0.7500 0.7500 0.7500
3 Ti 0.0000 0.0000 0.0000
4 Cr 0.5000 0.5000 0.5000

Summary:
**Formation enthalpy at 0 K**: 0.471 eV per atom
**Total magnetic moment**: 0.0 μB/f.u.
**Space group**: Fm-3m, No. 225

Computed, not measured: a relaxed structure of Ti2CrC at the PBE-GGA level of DFT.

a = 2.9832 Å, b = 2.9832 Å, c = 6.9504 Å
α = 77.61°, β = 77.61°, γ = 60.00°
Fractional coordinates of all 4 atoms:
1 Ti 0.7273 0.7273 0.8182
2 Ti 0.2727 0.2727 0.1818
3 Cr 0.5000 0.5000 0.5000
4 C 0.0000 0.0000 0.0000

Summary:
**Formation enthalpy at 0 K**: -0.217 eV per atom
**Total magnetic moment**: 1.9 μB/f.u.
**Space group**: R-3m, No. 166

Computed, not measured: a relaxed structure of TiCr3C at the PBE-GGA level of DFT.

a = 4.2297 Å, b = 4.2297 Å, c = 4.2297 Å
α = 90.00°, β = 90.00°, γ = 90.00°
Fractional coordinates of all 5 atoms:
1 Cr 0.0000 0.5000 0.0000
2 Cr 0.0000 0.0000 0.5000
3 Ti 0.0000 0.0000 0.0000
4 C 0.5000 0.5000 0.5000
5 Cr 0.5000 0.0000 0.0000

Summary:
**Formation enthalpy at 0 K**: 2.740 eV per atom
**Total magnetic moment**: 0.0 μB/f.u.
**Excess energy over the best structure of this formula in the dataset**: 13.77 eV per formula unit
**Space group**: Pm-3m, No. 221

Computed, not measured: a relaxed structure of Ti3CrC at the PBE-GGA level of DFT.

a = 4.3797 Å, b = 4.3797 Å, c = 4.3797 Å
α = 90.00°, β = 90.00°, γ = 90.00°
Fractional coordinates of all 5 atoms:
1 Ti 0.0000 0.0000 0.5000
2 Ti 0.5000 0.0000 0.0000
3 Ti 0.0000 0.5000 0.0000
4 C 0.5000 0.5000 0.5000
5 Cr 0.0000 0.0000 0.0000

Summary:
**Formation enthalpy at 0 K**: 1.587 eV per atom
**Total magnetic moment**: 2.0 μB/f.u.
**Excess energy over the best structure of this formula in the dataset**: 8.56 eV per formula unit
**Space group**: Pm-3m, No. 221

In order of appearance, E = -8.5206 -8.8760 -6.4575 -6.9193 eV per atom.